VASP calculation (PBE-GGA) on Li5HIrN2 after structural relaxation.

The structure in CIF format:
```
data_Li5HIrN2
_cell_length_a 4.104
_cell_length_b 4.104
_cell_length_c 7.536
_cell_angle_alpha 90.00
_cell_angle_beta 90.00
_cell_angle_gamma 90.00
_symmetry_space_group_name_H-M 'P 4/m m m'
_symmetry_Int_Tables_number 123
_symmetry_space_group_name_Hall '-P 4 2'
loop_
_atom_site_label
_atom_site_fract_x
_atom_site_fract_y
_atom_site_fract_z
_atom_site_occupancy
Li1 0.000 0.000 0.000 1
Li2 0.000 0.500 0.263 1
H1 0.500 0.500 0.000 1
Ir1 0.000 0.000 0.500 1
N1 0.000 0.000 0.254 1
```

Output
volume: 126.96 Å³/cell
total DFT energy (no corrections): -4.481 eV/atom
Fermi-level density of states: 4.34 states/eV/f.u.